Record 1
The following is a DFT calculation (GGA-PBE) of an optimized crystal structure of CeNpSbTe.

It has space group F-43m (No. 216), with a = 7.618 Å, b = 7.618 Å, c = 7.618 Å, α = 90.00°, β = 90.00° and γ = 90.00°. The inequivalent atoms are Ce at (0.000, 0.000, 0.000), Np at (0.000, 0.000, 0.500), Sb at (0.250, 0.250, 0.750) and Te at (0.250, 0.250, 0.250).

The value obtained for the electronic total energy is -7.22 eV/atom. The uncorrected formation energy is -0.684 eV per atom. The total magnetic moment comes out at 1.478 μB per atom.


Record 2
The following is a DFT calculation (GGA-PBE) of an optimized crystal structure of CeThNp2Sb4.

It has space group P2/m (No. 10), with a = 7.718 Å, b = 4.454 Å, c = 7.735 Å, α = 90.00°, β = 109.40° and γ = 90.00°. The inequivalent atoms are Ce at (0.000, 0.000, 0.000), Th at (0.500, 0.500, 0.000), Np at (0.000, 0.500, 0.500), Np at (0.500, 0.000, 0.500), Sb at (0.247, 0.000, 0.743) and Sb at (0.251, 0.500, 0.256).

The value obtained for the electronic total energy is -7.56 eV/atom. The uncorrected formation energy is -0.590 eV per atom. The total magnetic moment comes out at 0.952 μB per atom.


Record 3
The following is a DFT calculation (GGA-PBE) of an optimized crystal structure of CeNp2Se6.

It has space group I-42m (No. 121), with a = 5.229 Å, b = 5.229 Å, c = 21.007 Å, α = 90.00°, β = 90.00° and γ = 90.00°. The inequivalent atoms are Ce at (0.000, 0.000, 0.000), Np at (0.000, 0.000, 0.310), Se at (0.000, 0.500, 0.250) and Se at (0.233, 0.233, 0.590).

The value obtained for the electronic total energy is -6.77 eV/atom. The uncorrected formation energy is -0.913 eV per atom. The total magnetic moment comes out at 0.668 μB per atom.


Record 4
The following is a DFT calculation (GGA-PBE) of an optimized crystal structure of CeNpSe2.

It has space group R3m (No. 160, hexagonal axes), with a = 4.0055 Å, b = 4.0055 Å, c = 22.2360 Å, α = 90.00°, β = 90.00° and γ = 120.00°. The inequivalent atoms are Ce at (0.0000, 0.0000, 0.0000), Np at (0.0000, 0.0000, 0.1733), Se at (0.0000, 0.0000, 0.4202) and Se at (0.0000, 0.0000, 0.5855).

The value obtained for the electronic total energy is -7.79 eV/atom. Its excess energy over the best structure of this formula in the dataset is 125 meV per atom. The uncorrected formation energy is -1.328 eV per atom. The total magnetic moment comes out at 1.395 μB per atom.


Record 5
The following is a DFT calculation (GGA-PBE) of an optimized crystal structure of Ce6NpSe8.

It has space group Fm-3m (No. 225), with a = 11.857 Å, b = 11.857 Å, c = 11.857 Å, α = 90.00°, β = 90.00° and γ = 90.00°. The inequivalent atoms are Ce at (0.000, 0.250, 0.250), Np at (0.000, 0.000, 0.000), Se at (0.000, 0.000, 0.249) and Se at (0.250, 0.250, 0.250).

The value obtained for the electronic total energy is -6.82 eV/atom. The uncorrected formation energy is -1.724 eV per atom. The total magnetic moment comes out at 0.753 μB per atom.


Record 6
The following is a DFT calculation (GGA-PBE) of an optimized crystal structure of Ce3Np2Se8.

It has space group Cmmm (No. 65), with a = 10.093 Å, b = 14.121 Å, c = 4.945 Å, α = 90.00°, β = 90.00° and γ = 90.00°. The inequivalent atoms are Ce at (0.000, 0.000, 0.000), Ce at (0.222, 0.500, 0.500), Np at (0.000, 0.261, 0.000), Se at (0.000, 0.120, 0.500), Se at (0.000, 0.370, 0.500) and Se at (0.241, 0.125, 0.000).

The value obtained for the electronic total energy is -6.92 eV/atom. The uncorrected formation energy is -1.416 eV per atom. The total magnetic moment comes out at 0.506 μB per atom.


Record 7
The following is a DFT calculation (GGA-PBE) of an optimized crystal structure of Ce2NpSe4.

It has space group I-42d (No. 122), with a = 8.843 Å, b = 8.843 Å, c = 8.826 Å, α = 90.00°, β = 90.00° and γ = 90.00°. The inequivalent atoms are Ce at (0.126, 0.250, 0.125), Np at (0.000, 0.000, 0.500) and Se at (0.075, 0.175, 0.797).

The value obtained for the electronic total energy is -7.16 eV/atom. Its excess energy over the best structure of this formula in the dataset is 0 meV per atom. The uncorrected formation energy is -1.627 eV per atom. The total magnetic moment comes out at 1.002 μB per atom.


Record 8
The following is a DFT calculation (GGA-PBE) of an optimized crystal structure of CeNp4Se6.

It has space group Cmcm (No. 63), with a = 4.097 Å, b = 13.504 Å, c = 20.737 Å, α = 90.00°, β = 90.00° and γ = 90.00°. The inequivalent atoms are Ce at (0.000, 0.159, 0.250), Np at (0.000, 0.090, 0.627), Np at (0.000, 0.360, 0.540), Se at (0.000, 0.000, 0.000), Se at (0.000, 0.185, 0.750), Se at (0.000, 0.269, 0.091) and Se at (0.000, 0.452, 0.667).

The value obtained for the electronic total energy is -8.39 eV/atom. The uncorrected formation energy is -1.243 eV per atom. The total magnetic moment comes out at 1.712 μB per atom.


Record 9
The following is a DFT calculation (GGA-PBE) of an optimized crystal structure of Ce4NpSe7.

It has space group Cm (No. 8), with a = 13.796 Å, b = 4.107 Å, c = 12.398 Å, α = 90.00°, β = 105.33° and γ = 90.00°. The inequivalent atoms are Ce at (0.000, 0.000, 0.000), Ce at (0.082, 0.500, 0.379), Ce at (0.187, 0.000, 0.764), Ce at (0.384, 0.500, 0.570), Np at (0.265, 0.500, 0.144), Se at (0.044, 0.500, 0.622), Se at (0.120, 0.500, 0.921), Se at (0.150, 0.000, 0.223), Se at (0.225, 0.000, 0.520), Se at (0.346, 0.500, 0.787), Se at (0.377, 0.000, 0.069) and Se at (0.422, 0.500, 0.351).

The value obtained for the electronic total energy is -6.74 eV/atom. The uncorrected formation energy is -1.654 eV per atom. The total magnetic moment comes out at 0.198 μB per atom.


Record 10
The following is a DFT calculation (GGA-PBE) of an optimized crystal structure of Ce2NpSe4.

It has space group Cmcm (No. 63), with a = 4.094 Å, b = 13.894 Å, c = 13.864 Å, α = 90.00°, β = 90.00° and γ = 90.00°. The inequivalent atoms are Ce at (0.000, 0.133, 0.070), Np at (0.000, 0.378, 0.250), Se at (0.000, 0.027, 0.250), Se at (0.000, 0.223, 0.627) and Se at (0.000, 0.500, 0.000).

The value obtained for the electronic total energy is -7.07 eV/atom. Its excess energy over the best structure of this formula in the dataset is 91 meV per atom. The uncorrected formation energy is -1.536 eV per atom. The total magnetic moment comes out at 0.936 μB per atom.


Record 11
The following is a DFT calculation (GGA-PBE) of an optimized crystal structure of CeNp4Se5.

It has space group I4/mmm (No. 139), with a = 4.126 Å, b = 4.126 Å, c = 29.178 Å, α = 90.00°, β = 90.00° and γ = 90.00°. The inequivalent atoms are Ce at (0.000, 0.000, 0.000), Np at (0.000, 0.000, 0.201), Np at (0.000, 0.000, 0.400), Se at (0.000, 0.000, 0.102), Se at (0.000, 0.000, 0.300) and Se at (0.000, 0.000, 0.500).

The value obtained for the electronic total energy is -8.72 eV/atom. The uncorrected formation energy is -1.208 eV per atom. The total magnetic moment comes out at 1.865 μB per atom.


Record 12
The following is a DFT calculation (GGA-PBE) of an optimized crystal structure of Ce4NpSe5.

It has space group R-3m (No. 166, hexagonal axes), with a = 4.1814 Å, b = 4.1814 Å, c = 51.0404 Å, α = 90.00°, β = 90.00° and γ = 120.00°. The inequivalent atoms are Ce at (0.0000, 0.0000, 0.1014), Ce at (0.0000, 0.0000, 0.2995), Np at (0.0000, 0.0000, 0.5000), Se at (0.0000, 0.0000, 0.0000), Se at (0.0000, 0.0000, 0.1981) and Se at (0.0000, 0.0000, 0.4009).

The value obtained for the electronic total energy is -7.08 eV/atom. The uncorrected formation energy is -1.672 eV per atom. The total magnetic moment comes out at 0.430 μB per atom.


no.,volume (A^3/atom)
1,27.6
2,31.4
3,31.9
4,25.7
5,27.8
6,27.1
7,24.6
8,26.1
9,28.2
10,28.2
11,24.8
12,25.8